DFT (PBE+U) results for an optimized crystal structure of Rb2LiV3F12.

- V (Å³ per atom) = 16.04
- total magnetization (μB/cell) = 18.00
- energy (eV/atom) = -5.617

Lattice parameters (Å, degrees): 7.4914 7.4914 17.8167 90.00 90.00 120.00
Closest atoms and distances in Å follow each position.
Space group R-3m (No. 166, hexagonal axes)
Symmetry-distinct sites (fractional):
Rb 0.0000 0.0000 0.1357 (multiplicity 6)  6 F 3.04-3.34
Li 0.0000 0.0000 0.5000 (multiplicity 3)  6 F 2.09
V 0.0000 0.5000 0.0000 (multiplicity 9)  6 F 1.91-2.00
F 0.0599 0.5299 0.1052 (multiplicity 18)  1 V 1.91, 1 Li 2.09
F 0.0721 0.5361 0.3535 (multiplicity 18)  2 V 2.00